VASP calculation (PBE) on a relaxed ScNbB2 crystal.

- energy above the lowest structure with this stoichiometry (meV/atom) = 0
- electronic total energy (eV/atom) = -8.049
- symmetry = No. 38
- M_tot (μB/f.u.) = 0.0

Cell lengths 3.1545, 4.8685, 4.8685 Å; angles 41.22, 90.00, 90.00 degrees
Closest atoms and distances in Å follow each position.
Atoms (fractional coordinates):
Sc1 0.0000 0.0000 0.0000  7 B 2.51-2.66
Nb1 0.5000 0.7139 0.7139  6 B 2.39-2.44
B1 0.0000 0.2918 0.2918  2 B 1.85
B2 0.5000 0.3973 0.3973  2 B 1.85